# TiPd8Pb2 (GGA-PBE, optimized geometry)
# **Electronic total energy**: -5.500 eV/atom
# **Formation enthalpy at 0 K**: -0.33 eV per atom
data_TiPd8Pb2
_chemical_formula_sum 'Ti2 Pd16 Pb4'
_space_group_name_H-M_alt 'C 1 2/m 1'
_space_group_IT_number 12
_cell_length_a 15.020
_cell_length_b 4.065
_cell_length_c 6.519
_cell_angle_alpha 90.00
_cell_angle_beta 108.86
_cell_angle_gamma 90.00
loop_
_space_group_symop_operation_xyz
'x,y,z'
'-x,-y,-z'
'-x,y,-z'
'x,-y,z'
'x+1/2,y+1/2,z'
'-x+1/2,-y+1/2,-z'
'-x+1/2,y+1/2,-z'
'x+1/2,-y+1/2,z'
loop_
_atom_site_label
_atom_site_fract_x
_atom_site_fract_y
_atom_site_fract_z
_atom_site_occupancy
Ti1 0.000 0.000 0.000 1
Pd1 0.038 0.500 0.738 1
Pd2 0.084 0.000 0.442 1
Pd3 0.131 0.500 0.182 1
Pd4 0.171 0.000 0.922 1
Pb1 0.211 0.500 0.659 1

---

# BeReNO2 (GGA-PBE, optimized geometry)
# **Electronic total energy**: -7.025 eV/atom
# **Uncorrected formation energy**: -0.14 eV per atom
data_BeReNO2
_chemical_formula_sum 'Be1 Re1 N1 O2'
_space_group_name_H-M_alt 'P 4/m m m'
_space_group_IT_number 123
_space_group_name_Hall '-P 4 2'
_cell_length_a 3.805
_cell_length_b 3.805
_cell_length_c 3.978
_cell_angle_alpha 90.00
_cell_angle_beta 90.00
_cell_angle_gamma 90.00
loop_
_atom_site_label
_atom_site_fract_x
_atom_site_fract_y
_atom_site_fract_z
_atom_site_occupancy
Be1 0.000 0.000 0.000 1
Re1 0.500 0.500 0.500 1
N1 0.500 0.500 0.000 1
O1 0.000 0.500 0.500 1